VInCl2F PBE with a Hubbard U optimized geometry; crystal system = tetragonal; raw total energy = -4.594 eV per atom; N(E_F) = 0.000 states/eV per atom
1.0
5.163 0.000 0.000
0.000 5.163 0.000
0.000 0.000 4.161
V In Cl F
1 1 2 1
direct
0.000 0.000 0.000
0.500 0.500 0.500
0.000 0.500 0.000
0.500 0.000 0.000
0.000 0.000 0.500